{
  "formula": "Cd2Te",
  "functional": "PBE",
  "state": "optimized geometry",
  "volume_a3_per_atom": 32.1,
  "de_polymorph_mev_per_atom": 72.0,
  "sg": "Pa-3, No. 205",
  "dft_energy_ev_per_atom": -1.7578,
  "raw_formation_energy_ev_per_atom": -0.101,
  "cell": [[7.2741, 0.0000, 0.0000], [0.0000, 7.2741, 0.0000], [0.0000, 0.0000, 7.2741]],
  "species": ["Cd", "Cd", "Cd", "Cd", "Cd", "Cd", "Cd", "Cd", "Te", "Te", "Te", "Te"],
  "fractional_positions": [[0.1111, 0.1111, 0.1111], [0.1111, 0.3889, 0.6111], [0.3889, 0.6111, 0.1111], [0.3889, 0.8889, 0.6111], [0.6111, 0.1111, 0.3889], [0.6111, 0.3889, 0.8889], [0.8889, 0.6111, 0.3889], [0.8889, 0.8889, 0.8889], [0.0000, 0.0000, 0.5000], [0.0000, 0.5000, 0.0000], [0.5000, 0.0000, 0.0000], [0.5000, 0.5000, 0.5000]]
}